1.
BeHg2Sb: optimized geometry, PBE.

E above lowest polymorph (kJ/mol of formula units): 65
Total moment (μB/f.u.): 0.0
Crystal system: orthorhombic
Formation energy from raw total energies (meV/atom): 334.7
Density (g cm⁻³): 9.56

a b c (Å): 3.2211 3.2211 9.2993
angles (deg): 90.00 90.00 106.72
Closest atoms and distances in Å follow each position.
Fractional coordinates of all 4 atoms:
1 Sb 0.0000 0.0000 0.5693  2 Be 2.57
2 Hg 0.0000 0.0000 0.9398  2 Be 2.60
3 Hg 0.5000 0.5000 0.2386  6 Hg 3.22-3.38
4 Be 0.5000 0.5000 0.7523  2 Sb 2.57, 2 Hg 2.60

2.
KRb2SbPt: optimized geometry, PBE.

Total moment (μB/f.u.): 0.3
Crystal system: tetragonal
Formation energy from raw total energies (meV/atom): -183.8
Density (g cm⁻³): 3.88

a b c (Å): 6.6644 6.6644 5.0784
angles (deg): 90.00 90.00 90.00
Closest atoms and distances in Å follow each position.
Fractional coordinates of all 5 atoms:
1 Sb 0.0000 0.0000 0.5000  2 Pt 2.54
2 K 0.5000 0.5000 0.5000  8 Rb 4.19
3 Rb 0.0000 0.5000 0.0000  2 Pt 3.33
4 Rb 0.5000 0.0000 0.0000  2 Pt 3.33
5 Pt 0.0000 0.0000 0.0000  2 Sb 2.54

3.
SmSbIr: optimized geometry, PBE.

Total moment (μB/f.u.): 0.0
Crystal system: hexagonal
Formation energy from raw total energies (meV/atom): -752.8
Density (g cm⁻³): 11.30

a b c (Å): 3.7106 4.6087 4.6087
angles (deg): 120.00 90.00 90.00
Closest atoms and distances in Å follow each position.
Fractional coordinates of all 3 atoms:
1 Sb 0.1666 0.3333 0.6667  3 Ir 2.66
2 Ir 0.1667 0.0000 0.0000  3 Sb 2.66
3 Sm 0.6666 0.6667 0.3333  6 Ir 3.24, 6 Sb 3.24

4.
LaSbAu2: optimized geometry, PBE.

Total moment (μB/f.u.): 0.0
Crystal system: orthorhombic
Formation energy from raw total energies (meV/atom): -311.9
Density (g cm⁻³): 9.52

a b c (Å): 6.6262 6.6262 6.6262
angles (deg): 56.31 141.07 140.97
Closest atoms and distances in Å follow each position.
Fractional coordinates of all 4 atoms:
1 La 0.0000 0.5000 0.5000  2 Au 3.09, 4 Sb 3.13
2 Sb 0.0000 0.0000 0.0000  2 Au 2.75
3 Au 0.0000 0.2354 0.2354  1 Sb 2.75
4 Au 0.0000 0.7646 0.7646  1 Sb 2.75

5.
MgZrTl2: optimized geometry, PBE.

Total moment (μB/f.u.): 0.0
ΔH_f (0 K) (eV/atom): 0.197
Crystal system: tetragonal
Density (g cm⁻³): 8.73

a b c (Å): 7.8702 7.8702 6.4289
angles (deg): 52.26 52.26 90.00
Closest atoms and distances in Å follow each position.
Fractional coordinates of all 8 atoms:
1 Tl 0.6091 0.1250 0.2500  2 Mg 2.81, 2 Zr 2.98
2 Tl 0.1409 0.6250 0.2500  2 Mg 2.81, 2 Zr 2.98
3 Tl 0.3750 0.3909 0.7500  2 Mg 2.81, 2 Zr 2.98
4 Tl 0.8750 0.8591 0.7500  2 Mg 2.81, 2 Zr 2.98
5 Mg 0.5000 0.5000 0.0000  4 Tl 2.81
6 Mg 0.2500 0.7500 0.5000  4 Tl 2.81
7 Zr 0.0000 0.0000 0.0000  4 Tl 2.98, 2 Mg 3.22
8 Zr 0.7500 0.2500 0.5000  4 Tl 2.98, 2 Mg 3.22

6.
Pr2Ge3Ir4Rh: optimized geometry, PBE.

Total moment (μB/f.u.): 0.0
ΔH_f (0 K) (eV/atom): -0.668
Crystal system: tetragonal
Density (g cm⁻³): 12.11

a b c (Å): 4.2437 4.2437 10.4403
angles (deg): 90.00 90.00 90.00
Closest atoms and distances in Å follow each position.
Fractional coordinates of all 10 atoms:
1 Pr 0.5000 0.0000 0.2479  8 Ir 3.24-3.35, 6 Ge 3.24-3.38, 2 Rh 3.38
2 Pr 0.0000 0.5000 0.7521  8 Ir 3.24-3.35, 6 Ge 3.24-3.38, 2 Rh 3.38
3 Ge 0.0000 0.0000 0.5000  4 Ir 2.55
4 Ge 0.5000 0.0000 0.8701  5 Ir 2.46-2.52
5 Ge 0.0000 0.5000 0.1299  5 Ir 2.46-2.52
6 Ir 0.5000 0.5000 0.0000  4 Ge 2.52
7 Ir 0.0000 0.0000 0.0000  4 Ge 2.52
8 Ir 0.5000 0.0000 0.6348  3 Ge 2.46-2.55, 2 Rh 2.55
9 Ir 0.0000 0.5000 0.3652  3 Ge 2.46-2.55, 2 Rh 2.55
10 Rh 0.5000 0.5000 0.5000  4 Ir 2.55